Compound: Al2AgAs2
Source: Alexandria
Functional: PBE
Structure: optimized geometry

Computed properties:
Symmetry = I4/mmm (139)
E_form = 0.190 eV per atom

Lattice parameters (Å, degrees): 4.4692 4.4692 10.4856 90.00 90.00 90.00
With the nearest neighbours (Å) after each atom.
Atoms (fractional coordinates):
Al 0.0000 0.0000 0.1204  1 Al 2.52, 4 As 2.62
Al 0.0000 0.0000 0.8796  1 Al 2.52, 4 As 2.62
Al 0.5000 0.5000 0.3796  1 Al 2.52, 4 As 2.62
Al 0.5000 0.5000 0.6204  1 Al 2.52, 4 As 2.62
Ag 0.0000 0.0000 0.5000  8 Al 3.40, 8 As 3.44
Ag 0.5000 0.5000 0.0000  8 Al 3.40, 8 As 3.44
As 0.0000 0.5000 0.2500  4 Al 2.62
As 0.0000 0.5000 0.7500  4 Al 2.62
As 0.5000 0.0000 0.2500  4 Al 2.62
As 0.5000 0.0000 0.7500  4 Al 2.62